[1]
A relaxed structure of TbGa3Tc. Source: Alexandria via LeMat-Bulk, functional PBE.

a b c (Å): 6.2831 6.2831 5.5416
angles (deg): 90.00 90.00 120.00
Space group P6_3/mmc (No. 194)
Unique sites:
1 Tb 0.3333 0.6667 0.2500
2 Ga 0.1962 0.3925 0.7500
3 Tc 0.0000 0.0000 0.0000

Results
**E above lowest polymorph**: 0.0 kJ/mol of atoms
**N(E_F)**: 8.384 states/eV/cell
**Calculated formation energy**: -0.369 eV per atom

[2]
A relaxed structure of TbGaTc. Source: Alexandria via LeMat-Bulk, functional PBE.

a b c (Å): 3.8201 3.8201 32.9456
angles (deg): 90.00 90.00 120.00
Space group R-3m (No. 166, hexagonal axes)
Unique sites:
1 Tb 0.0000 0.0000 0.1210
2 Ga 0.0000 0.0000 0.3956
3 Tc 0.0000 0.0000 0.3157

Results
**E above lowest polymorph**: 49.5 kJ/mol of atoms
**N(E_F)**: 16.360 states/eV/cell
**Calculated formation energy**: 0.072 eV per atom

[3]
A relaxed structure of Tb4GaTc. Source: Alexandria via LeMat-Bulk, functional PBE.

a b c (Å): 8.706 12.988 6.149
angles (deg): 90.00 113.02 90.00
Space group C2/c (No. 15)
Unique sites:
1 Tb 0.111 0.174 0.061
2 Tb 0.212 0.428 0.353
3 Ga 0.000 0.375 0.750
4 Tc 0.000 0.000 0.250

Results
**N(E_F)**: 23.287 states/eV/cell
**Calculated formation energy**: -0.246 eV per atom

[4]
A relaxed structure of Tb12Ga6Tc. Source: Alexandria via LeMat-Bulk, functional PBE.

a b c (Å): 12.7921 12.7921 12.0414
angles (deg): 90.00 90.00 120.00
Space group R-3 (No. 148, hexagonal axes)
Unique sites:
1 Tb 0.0364 0.8254 0.3934
2 Tb 0.0512 0.8498 0.8835
3 Ga 0.0516 0.7806 0.6445
4 Tc 0.0000 0.0000 0.0000

Results
**N(E_F)**: 71.506 states/eV/cell
**Calculated formation energy**: -0.161 eV per atom

[5]
A relaxed structure of TbGa2Tc4. Source: Alexandria via LeMat-Bulk, functional PBE.

a b c (Å): 4.194 14.116 4.193
angles (deg): 90.00 90.00 90.00
Space group Cmmm (No. 65)
Unique sites:
1 Tb 0.000 0.000 0.000
2 Ga 0.000 0.412 0.500
3 Tc 0.000 0.199 0.500
4 Tc 0.000 0.301 0.000

Results
**N(E_F)**: 8.794 states/eV/cell
**Calculated formation energy**: -0.266 eV per atom

[6]
A relaxed structure of Tb2Ga8Tc. Source: Alexandria via LeMat-Bulk, functional PBE.

a b c (Å): 4.283 4.283 11.430
angles (deg): 90.00 90.00 90.00
Space group P4/mmm (No. 123)
Unique sites:
1 Tb 0.000 0.000 0.190
2 Ga 0.000 0.500 0.000
3 Ga 0.000 0.500 0.377
4 Ga 0.500 0.500 0.190
5 Tc 0.000 0.000 0.500

Results
**N(E_F)**: 4.344 states/eV/cell
**Calculated formation energy**: -0.437 eV per atom

[7]
A relaxed structure of TbGa5Tc. Source: Alexandria via LeMat-Bulk, functional PBE.

a b c (Å): 4.342 4.342 6.987
angles (deg): 90.00 90.00 90.00
Space group P4/mmm (No. 123)
Unique sites:
1 Tb 0.000 0.000 0.000
2 Ga 0.000 0.500 0.305
3 Ga 0.500 0.500 0.000
4 Tc 0.000 0.000 0.500

Results
**N(E_F)**: 2.781 states/eV/cell
**Calculated formation energy**: -0.386 eV per atom

[8]
A relaxed structure of Tb2Ga5Tc. Source: Alexandria via LeMat-Bulk, functional PBE.

a b c (Å): 6.168 6.168 8.529
angles (deg): 90.00 90.00 90.00
Space group I4mm (No. 107)
Unique sites:
1 Tb 0.000 0.500 0.000
2 Ga 0.000 0.000 0.013
3 Ga 0.212 0.212 0.247
4 Tc 0.000 0.000 0.726

Results
**N(E_F)**: 8.350 states/eV/cell
**Calculated formation energy**: -0.379 eV per atom

[9]
A relaxed structure of TbGaTc. Source: Alexandria via LeMat-Bulk, functional PBE.

a b c (Å): 5.339 5.628 7.514
angles (deg): 90.00 90.00 90.00
Space group Imma (No. 74)
Unique sites:
1 Tb 0.000 0.250 0.114
2 Ga 0.000 0.000 0.500
3 Tc 0.250 0.250 0.750

Results
**E above lowest polymorph**: 0.0 kJ/mol of atoms
**N(E_F)**: 7.192 states/eV/cell
**Calculated formation energy**: -0.442 eV per atom

[10]
A relaxed structure of TbGa3Tc. Source: Alexandria via LeMat-Bulk, functional PBE.

a b c (Å): 4.755 4.755 4.755
angles (deg): 90.00 90.00 90.00
Space group Pm-3m (No. 221)
Unique sites:
1 Tb 0.000 0.000 0.000
2 Ga 0.000 0.500 0.500
3 Tc 0.500 0.500 0.500

Results
**E above lowest polymorph**: 16.5 kJ/mol of atoms
**N(E_F)**: 1.912 states/eV/cell
**Calculated formation energy**: -0.198 eV per atom

[11]
A relaxed structure of Tb2Ga6Tc. Source: Alexandria via LeMat-Bulk, functional PBE.

a b c (Å): 5.8267 5.8267 5.7597
angles (deg): 90.00 90.00 120.00
Space group P-3m1 (No. 164)
Unique sites:
1 Tb 0.3333 0.6667 0.3394
2 Ga 0.1752 0.3503 0.8213
3 Tc 0.0000 0.0000 0.5000

Results
**N(E_F)**: 4.798 states/eV/cell
**Calculated formation energy**: -0.472 eV per atom

[12]
A relaxed structure of Tb6GaTc2. Source: Alexandria via LeMat-Bulk, functional PBE.

a b c (Å): 9.422 9.506 10.382
angles (deg): 90.00 90.00 90.00
Space group Immm (No. 71)
Unique sites:
1 Tb 0.000 0.187 0.167
2 Tb 0.183 0.226 0.500
3 Tb 0.197 0.500 0.252
4 Ga 0.000 0.500 0.000
5 Ga 0.000 0.500 0.500
6 Tc 0.000 0.000 0.386
7 Tc 0.182 0.000 0.000

Results
**N(E_F)**: 33.346 states/eV/cell
**Calculated formation energy**: -0.190 eV per atom

[13]
A relaxed structure of TbGa3Tc3. Source: Alexandria via LeMat-Bulk, functional PBE.

a b c (Å): 6.766 6.766 6.766
angles (deg): 90.00 90.00 90.00
Space group Pm-3n (No. 223)
Unique sites:
1 Tb 0.000 0.000 0.000
2 Ga 0.000 0.250 0.500
3 Tc 0.000 0.500 0.250

Results
**N(E_F)**: 17.415 states/eV/cell
**Calculated formation energy**: 0.711 eV per atom

[14]
A relaxed structure of TbGaTc. Source: Alexandria via LeMat-Bulk, functional PBE.

a b c (Å): 4.3609 4.3609 3.7114
angles (deg): 90.00 90.00 120.00
Space group P-6m2 (No. 187)
Unique sites:
1 Tb 0.0000 0.0000 0.0000
2 Ga 0.3333 0.6667 0.5000
3 Tc 0.6667 0.3333 0.5000

Results
**E above lowest polymorph**: 22.8 kJ/mol of atoms
**N(E_F)**: 2.007 states/eV/cell
**Calculated formation energy**: -0.206 eV per atom

[15]
A relaxed structure of TbThGaTc. Source: Alexandria via LeMat-Bulk, functional PBE.

a b c (Å): 7.158 7.158 7.158
angles (deg): 90.00 90.00 90.00
Space group F-43m (No. 216)
Unique sites:
1 Tb 0.000 0.000 0.000
2 Th 0.000 0.000 0.500
3 Ga 0.250 0.250 0.750
4 Tc 0.250 0.250 0.250

Results
**E above lowest polymorph**: 15.3 kJ/mol of atoms
**N(E_F)**: 7.679 states/eV/cell
**Calculated formation energy**: -0.223 eV per atom

[16]
A relaxed structure of TbThGaTc. Source: Alexandria via LeMat-Bulk, functional PBE.

a b c (Å): 3.963 4.108 11.599
angles (deg): 90.00 90.00 90.00
Space group Amm2 (No. 38)
Unique sites:
1 Tb 0.000 0.000 0.000
2 Th 0.500 0.000 0.723
3 Ga 0.500 0.000 0.424
4 Tc 0.000 0.000 0.270

Results
**E above lowest polymorph**: 0.0 kJ/mol of atoms
**N(E_F)**: 8.595 states/eV/cell
**Calculated formation energy**: -0.381 eV per atom

[17]
A relaxed structure of TbYGaTc. Source: Alexandria via LeMat-Bulk, functional PBE.

a b c (Å): 7.026 7.026 7.026
angles (deg): 90.00 90.00 90.00
Space group F-43m (No. 216)
Unique sites:
1 Tb 0.000 0.000 0.000
2 Y 0.000 0.000 0.500
3 Ga 0.250 0.250 0.250
4 Tc 0.250 0.250 0.750

Results
**N(E_F)**: 12.924 states/eV/cell
**Calculated formation energy**: -0.228 eV per atom

[18]
A relaxed structure of TbZrGaTc. Source: Alexandria via LeMat-Bulk, functional PBE.

a b c (Å): 6.842 6.842 6.842
angles (deg): 90.00 90.00 90.00
Space group F-43m (No. 216)
Unique sites:
1 Tb 0.000 0.000 0.000
2 Zr 0.000 0.000 0.500
3 Ga 0.250 0.250 0.750
4 Tc 0.250 0.250 0.250

Results
**N(E_F)**: 8.090 states/eV/cell
**Calculated formation energy**: -0.285 eV per atom

[19]
A relaxed structure of TbGaTe3. Source: Alexandria via LeMat-Bulk, functional PBE.

a b c (Å): 8.431 11.804 7.384
angles (deg): 90.00 90.00 90.00
Space group Pnma (No. 62)
Unique sites:
1 Tb 0.000 0.000 0.000
2 Ga 0.166 0.250 0.460
3 Te 0.004 0.750 0.853
4 Te 0.179 0.065 0.652

Results
**N(E_F)**: 0.084 states/eV/cell
**ΔE_f (raw)**: -725 meV per atom

[20]
A relaxed structure of Tb3GaTe4. Source: Alexandria via LeMat-Bulk, functional PBE.

a b c (Å): 6.161 9.849 9.269
angles (deg): 90.00 90.00 90.00
Space group Pmmn (No. 59, origin choice 2)
Unique sites:
1 Tb 0.250 0.042 0.155
2 Tb 0.250 0.250 0.748
3 Ga 0.250 0.750 0.596
4 Te 0.250 0.250 0.408
5 Te 0.250 0.547 0.839
6 Te 0.250 0.750 0.259

Results
**N(E_F)**: 6.017 states/eV/cell
**ΔE_f (raw)**: -951 meV per atom